A relaxed structure of Cd4Hg. Source: Alexandria via LeMat-Bulk, functional PBE.

Cell: 4.501 5.540 5.540 Å, 99.50 113.97 66.03°
Fractional coordinates of all 5 atoms:
Cd 0.801 0.796 0.397
Hg 0.000 0.000 0.000
Cd 0.597 0.603 0.796
Cd 0.403 0.397 0.204
Cd 0.199 0.204 0.603

Calculated values
Energy above the most stable polymorph in this dataset, kJ per mole of atoms: 0.0
E_form, eV/atom: 0.019
Electronic total energy, eV/atom: -0.774

=====

A relaxed structure of Cd5Hg. Source: Alexandria via LeMat-Bulk, functional PBE.

Cell: 3.257 3.257 13.087 Å, 90.00 90.00 90.00°
Fractional coordinates of all 6 atoms:
Cd 0.000 0.000 0.662
Cd 0.000 0.000 0.333
Cd 0.000 0.000 0.004
Hg 0.500 0.500 0.833
Cd 0.500 0.500 0.499
Cd 0.500 0.500 0.168

Calculated values
E_form, eV/atom: 0.022
Electronic total energy, eV/atom: -0.791

=====

A relaxed structure of Cd3Hg. Source: Alexandria via LeMat-Bulk, functional PBE.

Cell: 5.115 5.115 3.791 Å, 90.00 90.00 109.30°
Fractional coordinates of all 4 atoms:
Hg 0.500 0.500 0.000
Cd 0.500 0.000 0.500
Cd 0.000 0.500 0.500
Cd 0.000 0.000 0.000

Calculated values
E_form, eV/atom: 0.003
Electronic total energy, eV/atom: -0.759